Entry 1:
12
Lattice="3.5367 0.0000 0.0000 -1.7683 3.0628 0.0000 0.0000 0.0000 34.1807" Properties=species:S:1:pos:R:3 comment="Er2LuTh GGA-PBE relaxed" m_tot_mub_per_cell=0.00 polymorph_energy_mev_per_atom=0.0 final_energy_ev_per_cell=-62.85 spacegroup="R-3m (166)" dos_ef_per_ev_cell=19.1 formation_energy_mev_per_atom=29 pbc="T T T"
Er 0.0000 0.0000 8.5602
Er 0.0000 0.0000 25.6205
Er 0.0000 2.0419 14.2270
Er 0.0000 2.0419 31.3473
Er 1.7683 1.0209 2.8334
Er 1.7683 1.0209 19.9537
Lu 0.0000 0.0000 17.0903
Lu 0.0000 2.0419 5.6968
Lu 1.7683 1.0209 28.4839
Th 0.0000 0.0000 0.0000
Th 0.0000 2.0419 22.7871
Th 1.7683 1.0209 11.3936

---

Entry 2:
16
Lattice="7.9119 0.0000 0.0000 0.0000 7.9119 0.0000 0.0000 0.0000 7.9119" Properties=species:S:1:pos:R:3 comment="ErTmLuTh GGA-PBE relaxed" m_tot_mub_per_cell=0.00 final_energy_ev_per_cell=-81.98 spacegroup="F-43m (216)" dos_ef_per_ev_cell=29.0 formation_energy_mev_per_atom=120 pbc="T T T"
Er 0.0000 0.0000 0.0000
Er 0.0000 3.9559 3.9559
Er 3.9559 0.0000 3.9559
Er 3.9559 3.9559 0.0000
Tm 1.9780 1.9780 1.9780
Tm 1.9780 5.9339 5.9339
Tm 5.9339 1.9780 5.9339
Tm 5.9339 5.9339 1.9780
Lu 1.9780 1.9780 5.9339
Lu 1.9780 5.9339 1.9780
Lu 5.9339 1.9780 1.9780
Lu 5.9339 5.9339 5.9339
Th 0.0000 0.0000 3.9559
Th 0.0000 3.9559 0.0000
Th 3.9559 0.0000 0.0000
Th 3.9559 3.9559 3.9559

---

Entry 3:
6
Lattice="0.0000 4.0689 4.0689 4.0689 0.0000 4.0689 4.0689 4.0689 0.0000" Properties=species:S:1:pos:R:3 comment="ErLuTi4 GGA-PBE relaxed" m_tot_mub_per_cell=9.20 final_energy_ev_per_cell=-39.32 spacegroup="F-43m (216)" dos_ef_per_ev_cell=8.9 formation_energy_mev_per_atom=224 pbc="T T T"
Er 0.0000 0.0000 0.0000
Lu 2.0344 2.0344 2.0344
Ti 5.0830 3.0547 3.0547
Ti 3.0547 5.0830 3.0547
Ti 3.0547 3.0547 5.0830
Ti 5.0830 5.0830 5.0830

---

Entry 4:
4
Lattice="3.3371 0.0000 0.0000 0.0000 3.3371 0.0000 0.0000 0.0000 9.4024" Properties=species:S:1:pos:R:3 comment="ErLu2Ti GGA-PBE relaxed" m_tot_mub_per_cell=0.00 polymorph_energy_mev_per_atom=0.0 final_energy_ev_per_cell=-20.91 spacegroup="P4/mmm (123)" dos_ef_per_ev_cell=6.8 formation_energy_mev_per_atom=147 pbc="T T T"
Er 0.0000 0.0000 0.0000
Lu 1.6685 1.6685 2.6346
Lu 1.6685 1.6685 6.7679
Ti 0.0000 0.0000 4.7012

---

Entry 5:
3
Lattice="5.1661 0.0000 0.0000 -2.5830 4.4739 0.0000 0.0000 0.0000 3.2622" Properties=species:S:1:pos:R:3 comment="ErLuTi GGA-PBE relaxed" m_tot_mub_per_cell=1.42 final_energy_ev_per_cell=-16.36 spacegroup="P-6m2 (187)" dos_ef_per_ev_cell=4.6 formation_energy_mev_per_atom=205 pbc="T T T"
Er 0.0000 0.0000 0.0000
Lu 2.5830 1.4913 1.6311
Ti 0.0000 2.9826 0.0000

---

Entry 6:
16
Lattice="7.5372 0.0000 0.0000 0.0000 7.5372 0.0000 0.0000 0.0000 7.5372" Properties=species:S:1:pos:R:3 comment="ErLu2Ti GGA-PBE relaxed" m_tot_mub_per_cell=14.82 polymorph_energy_mev_per_atom=89.2 final_energy_ev_per_cell=-82.22 spacegroup="Fm-3m (225)" dos_ef_per_ev_cell=24.9 formation_energy_mev_per_atom=236 pbc="T T T"
Er 0.0000 0.0000 0.0000
Er 0.0000 3.7686 3.7686
Er 3.7686 0.0000 3.7686
Er 3.7686 3.7686 0.0000
Lu 1.8843 1.8843 1.8843
Lu 1.8843 1.8843 5.6529
Lu 1.8843 5.6529 1.8843
Lu 1.8843 5.6529 5.6529
Lu 5.6529 1.8843 1.8843
Lu 5.6529 1.8843 5.6529
Lu 5.6529 5.6529 1.8843
Lu 5.6529 5.6529 5.6529
Ti 0.0000 0.0000 3.7686
Ti 0.0000 3.7686 0.0000
Ti 3.7686 0.0000 0.0000
Ti 3.7686 3.7686 3.7686

---

Entry 7:
4
Lattice="4.7129 0.0000 0.0000 0.0000 4.7129 0.0000 0.0000 0.0000 4.7222" Properties=species:S:1:pos:R:3 comment="ErLu2Ti GGA-PBE relaxed" m_tot_mub_per_cell=1.10 polymorph_energy_mev_per_atom=35.6 final_energy_ev_per_cell=-20.77 spacegroup="P4/mmm (123)" dos_ef_per_ev_cell=6.3 formation_energy_mev_per_atom=183 pbc="T T T"
Er 0.0000 0.0000 0.0000
Lu 0.0000 2.3564 2.3611
Lu 2.3564 0.0000 2.3611
Ti 2.3564 2.3564 0.0000

---

Entry 8:
6
Lattice="3.5098 0.0000 0.0000 0.0000 3.5098 0.0000 0.0000 0.0000 13.5775" Properties=species:S:1:pos:R:3 comment="ErLuTl GGA-PBE relaxed" m_tot_mub_per_cell=0.00 polymorph_energy_mev_per_atom=0.0 final_energy_ev_per_cell=-24.22 spacegroup="I4mm (107)" dos_ef_per_ev_cell=6.6 formation_energy_mev_per_atom=-221 pbc="T T T"
Er 0.0000 0.0000 0.0000
Er 1.7549 1.7549 6.7887
Lu 0.0000 0.0000 4.3526
Lu 1.7549 1.7549 11.1414
Tl 0.0000 0.0000 8.9848
Tl 1.7549 1.7549 2.1961